Entry from Alexandria: a geometry-optimized Ba2HfIn structure (GGA-PBE).

POSCAR file:
```
Ba2HfIn
1.0
9.381 0.000 0.000
0.000 9.381 0.000
0.000 0.000 6.600
Ba Hf In
8 4 4
Direct
0.249 0.250 0.125
0.250 0.749 0.375
0.250 0.751 0.875
0.251 0.250 0.625
0.749 0.750 0.625
0.750 0.249 0.875
0.750 0.251 0.375
0.751 0.750 0.125
0.000 0.000 0.500
0.000 0.500 0.750
0.500 0.000 0.250
0.500 0.500 0.000
0.000 0.000 0.000
0.000 0.500 0.250
0.500 0.000 0.750
0.500 0.500 0.500
```

Values from the calculation:
Size of the total moment: 0.000 μB per atom
DFT formation energy: 0.6199 eV/atom
DOS at the Fermi energy: 1.0438 states/eV/atom

Entry from Alexandria: a geometry-optimized Sm2CuBi structure (GGA-PBE).

POSCAR file:
```
Sm2CuBi
1.0
3.592 0.000 0.000
-1.796 3.111 0.000
0.000 0.000 31.724
Sm Cu Bi
6 3 3
Direct
0.000 0.000 0.101
0.000 0.000 0.899
0.333 0.667 0.565
0.333 0.667 0.768
0.667 0.333 0.232
0.667 0.333 0.435
0.000 0.000 0.500
0.333 0.667 0.167
0.667 0.333 0.833
0.000 0.000 0.000
0.333 0.667 0.667
0.667 0.333 0.333
```

Values from the calculation:
Size of the total moment: 0.000 μB per atom
DFT formation energy: 0.0424 eV/atom
DOS at the Fermi energy: 1.1095 states/eV/atom

Entry from Alexandria: a geometry-optimized Ti2GaRu3 structure (GGA-PBE).

POSCAR file:
```
Ti2GaRu3
1.0
3.083 0.000 0.000
0.000 3.083 0.000
0.000 0.000 9.089
Ti Ga Ru
2 1 3
Direct
0.000 0.000 0.172
0.000 0.000 0.828
0.000 0.000 0.500
0.500 0.500 0.000
0.500 0.500 0.334
0.500 0.500 0.666
```

Values from the calculation:
Size of the total moment: 0.000 μB per atom
DFT formation energy: -0.6630 eV/atom
DOS at the Fermi energy: 0.6665 states/eV/atom

Entry from Alexandria: a geometry-optimized Fe2PbBr structure (GGA-PBE).

POSCAR file:
```
Fe2PbBr
1.0
3.280 0.000 0.000
0.000 4.579 0.000
0.000 0.000 11.595
Fe Pb Br
4 2 2
Direct
0.000 0.000 0.000
0.000 0.500 0.350
0.500 0.000 0.850
0.500 0.500 0.500
0.000 0.500 0.871
0.500 0.000 0.371
0.000 0.000 0.647
0.500 0.500 0.147
```

Values from the calculation:
ΔE to the lowest computed polymorph: 253.6 meV/atom
Size of the total moment: 1.344 μB per atom
DOS at the Fermi energy: 0.3478 states/eV/atom

Entry from Alexandria: a geometry-optimized Sb2HPdSe structure (GGA-PBE).

POSCAR file:
```
Sb2HPdSe
1.0
5.552 0.000 0.000
0.000 5.552 0.000
0.000 0.000 3.284
Sb H Pd Se
2 1 1 1
Direct
0.000 0.500 0.000
0.500 0.000 0.000
0.000 0.000 0.500
0.500 0.500 0.500
0.000 0.000 0.000
```

Values from the calculation:
Size of the total moment: 0.000 μB per atom
DOS at the Fermi energy: 0.2621 states/eV/atom

Entry from Alexandria: a geometry-optimized LiCr2As structure (GGA-PBE).

POSCAR file:
```
LiCr2As
1.0
3.119 0.000 0.000
0.000 3.119 0.000
0.000 0.000 5.473
Li Cr As
1 2 1
Direct
0.000 0.000 0.000
0.000 0.000 0.507
0.500 0.500 0.720
0.500 0.500 0.240
```

Values from the calculation:
Size of the total moment: 0.104 μB per atom
DFT formation energy: 0.0627 eV/atom
DOS at the Fermi energy: 0.7753 states/eV/atom

Entry from Alexandria: a geometry-optimized CsVI2N structure (GGA-PBE).

POSCAR file:
```
CsVI2N
1.0
7.092 0.000 0.000
0.000 7.092 0.000
0.000 0.000 5.563
Cs V I N
1 1 2 1
Direct
0.000 0.000 0.000
0.500 0.500 0.500
0.000 0.500 0.000
0.500 0.000 0.000
0.000 0.000 0.500
```

Values from the calculation:
ΔE to the lowest computed polymorph: 1792.5 meV/atom
Size of the total moment: 0.200 μB per atom
DOS at the Fermi energy: 1.2847 states/eV/atom

Entry from Alexandria: a geometry-optimized Er12GaAu6 structure (GGA-PBE).

POSCAR file:
```
Er12GaAu6
1.0
6.447 3.722 3.879
-6.447 3.722 3.879
0.000 -7.444 3.879
Er Ga Au
12 1 6
Direct
0.062 0.931 0.678
0.069 0.322 0.938
0.177 0.579 0.426
0.322 0.938 0.069
0.421 0.574 0.823
0.426 0.177 0.579
0.574 0.823 0.421
0.579 0.426 0.177
0.678 0.062 0.931
0.823 0.421 0.574
0.931 0.678 0.062
0.938 0.069 0.322
0.000 0.000 0.000
0.137 0.307 0.614
0.307 0.614 0.137
0.386 0.863 0.693
0.614 0.137 0.307
0.693 0.386 0.863
0.863 0.693 0.386
```

Values from the calculation:
Size of the total moment: 0.000 μB per atom
DFT formation energy: -0.4421 eV/atom
DOS at the Fermi energy: 0.9776 states/eV/atom

Entry from Alexandria: a geometry-optimized YNiRu2Se structure (GGA-PBE).

POSCAR file:
```
YNiRu2Se
1.0
4.600 0.000 0.000
0.000 4.600 0.000
0.000 0.000 4.372
Y Ni Ru Se
1 1 2 1
Direct
0.000 0.000 0.000
0.500 0.500 0.000
0.000 0.500 0.500
0.500 0.000 0.500
0.500 0.500 0.500
```

Values from the calculation:
Size of the total moment: 0.000 μB per atom
DOS at the Fermi energy: 1.0632 states/eV/atom

Entry from Alexandria: a geometry-optimized KNa6Tl2 structure (GGA-PBE).

POSCAR file:
```
KNa6Tl2
1.0
5.620 0.000 0.000
0.000 5.620 0.000
0.000 0.000 10.631
K Na Tl
1 6 2
Direct
0.000 0.000 0.000
0.000 0.000 0.500
0.000 0.500 0.285
0.000 0.500 0.715
0.500 0.000 0.285
0.500 0.000 0.715
0.500 0.500 0.500
0.500 0.500 0.140
0.500 0.500 0.860
```

Values from the calculation:
ΔE to the lowest computed polymorph: 17.2 meV/atom
Size of the total moment: 0.000 μB per atom
DFT formation energy: -0.0253 eV/atom
DOS at the Fermi energy: 0.2089 states/eV/atom

Entry from Alexandria: a geometry-optimized Al2NiPb structure (GGA-PBE).

POSCAR file:
```
Al2NiPb
1.0
3.220 0.000 0.000
-1.610 2.789 0.000
0.000 0.000 25.954
Al Ni Pb
6 3 3
Direct
0.000 0.000 0.226
0.000 0.000 0.774
0.333 0.667 0.441
0.333 0.667 0.892
0.667 0.333 0.108
0.667 0.333 0.559
0.000 0.000 0.500
0.333 0.667 0.167
0.667 0.333 0.833
0.000 0.000 0.000
0.333 0.667 0.667
0.667 0.333 0.333
```

Values from the calculation:
Size of the total moment: 0.000 μB per atom
DFT formation energy: 0.0427 eV/atom
DOS at the Fermi energy: 0.2889 states/eV/atom

Entry from Alexandria: a geometry-optimized LiGaAg4 structure (GGA-PBE).

POSCAR file:
```
LiGaAg4
1.0
-4.772 4.772 2.792
4.772 -4.772 2.792
4.772 4.772 -2.792
Li Ga Ag
2 2 8
Direct
0.000 0.000 0.000
0.750 0.250 0.500
0.252 0.752 0.500
0.502 0.502 0.000
0.008 0.242 0.765
0.477 0.242 0.235
0.496 0.230 0.734
0.496 0.762 0.266
0.512 0.746 0.766
0.980 0.746 0.234
0.992 0.258 0.265
0.992 0.727 0.735
```

Values from the calculation:
ΔE to the lowest computed polymorph: 289.3 meV/atom
Size of the total moment: 0.000 μB per atom
DFT formation energy: 0.2148 eV/atom
DOS at the Fermi energy: 0.2107 states/eV/atom

Number 1: uncorrected energy -56.23 eV for the cell shown. Number 2: uncorrected energy -51.74 eV for the cell shown. Number 3: uncorrected energy -50.62 eV for the cell shown. Number 4: uncorrected energy -41.02 eV for the cell shown. Number 5: uncorrected energy -19.26 eV for the cell shown. Number 6: uncorrected energy -25.56 eV for the cell shown. Number 7: uncorrected energy -14.57 eV for the cell shown. Number 8: uncorrected energy -85.84 eV for the cell shown. Number 9: uncorrected energy -33.66 eV for the cell shown. Number 10: uncorrected energy -13.97 eV for the cell shown. Number 11: uncorrected energy -50.41 eV for the cell shown. Number 12: uncorrected energy -30.11 eV for the cell shown.